1.
This record from the Alexandria database describes a geometry-optimized MgRe structure. The functional is PBE-GGA.

```
data_MgRe
_cell_length_a 2.673
_cell_length_b 2.673
_cell_length_c 4.516
_cell_angle_alpha 90.00
_cell_angle_beta 90.00
_cell_angle_gamma 90.00
_symmetry_space_group_name_H-M 'P 4/m m m'
_symmetry_Int_Tables_number 123
_symmetry_space_group_name_Hall '-P 4 2'
loop_
_atom_site_label
_atom_site_fract_x
_atom_site_fract_y
_atom_site_fract_z
_atom_site_occupancy
Mg1 0.000 0.000 0.000 1
Re1 0.500 0.500 0.500 1
```

Its volume is 32.3 Å³/f.u. The total magnetization comes out at 0.0 μB per cell. The value obtained for the energy of formation from the pure elements is 0.8 eV/f.u. The value obtained for the density of states at the Fermi level is 1.6 states/eV/cell. The calculation puts the energy above the most stable polymorph in this dataset at 310 meV per atom. For the calculated density, the calculation gives 10.833 Mg/m³.



2.
This record from the Alexandria database describes a geometry-optimized TbDy3Y6Tm2 structure. The functional is PBE-GGA.

```
data_TbDy3Y6Tm2
_cell_length_a 6.149
_cell_length_b 10.637
_cell_length_c 11.767
_cell_angle_alpha 90.00
_cell_angle_beta 99.98
_cell_angle_gamma 90.00
_symmetry_space_group_name_H-M 'C 1 2/m 1'
_symmetry_Int_Tables_number 12
_symmetry_space_group_name_Hall '-C 2y'
loop_
_atom_site_label
_atom_site_fract_x
_atom_site_fract_y
_atom_site_fract_z
_atom_site_occupancy
Tb1 0.000 0.000 0.000 1
Dy1 0.000 0.167 0.500 1
Dy2 0.000 0.500 0.500 1
Y1 0.250 0.000 0.751 1
Y2 0.250 0.167 0.249 1
Tm1 0.000 0.333 0.000 1
```

Its volume is 379.0 Å³/f.u. The total magnetization comes out at 0.0 μB per cell. The value obtained for the energy of formation from the pure elements is 0.3 eV/f.u. The value obtained for the density of states at the Fermi level is 34.8 states/eV/cell. For the calculated density, the calculation gives 6.649 Mg/m³.



3.
This record from the Alexandria database describes a geometry-optimized TbPrGa2 structure. The functional is PBE-GGA.

```
data_TbPrGa2
_cell_length_a 3.7621
_cell_length_b 3.7621
_cell_length_c 26.4503
_cell_angle_alpha 90.00
_cell_angle_beta 90.00
_cell_angle_gamma 120.00
_symmetry_space_group_name_H-M 'R -3 m'
_symmetry_Int_Tables_number 166
_symmetry_space_group_name_Hall '-R 3 2"'
loop_
_atom_site_label
_atom_site_fract_x
_atom_site_fract_y
_atom_site_fract_z
_atom_site_occupancy
Tb1 0.0000 0.0000 0.0000 1
Pr1 0.0000 0.0000 0.5000 1
Ga1 0.0000 0.0000 0.2528 1
```

Its volume is 108.1 Å³/f.u. The total magnetization comes out at 0.0 μB per cell. The value obtained for the energy of formation from the pure elements is -1.5 eV/f.u. The value obtained for the density of states at the Fermi level is 7.2 states/eV/cell. For the calculated density, the calculation gives 6.750 Mg/m³.